1.
# BeRe

An optimized crystal structure of BeRe (PBE, the Alexandria database).

As for the calculated total energy: -31.736 eV for the cell shown. The formation energy comes out at 0.153 eV/atom. The calculation puts the total magnetization at 0.0 μB per formula unit.

The space group is P6_3/mmc (No. 194) and the conventional cell measures 2.6927, 2.6927 and 7.9306 Å, with angles of 90.00, 90.00 and 120.00 degrees. The asymmetric unit holds Be at (0.3333, 0.6667, 0.2500) and Re at (0.0000, 0.0000, 0.0000).

2.
# BeRe

An optimized crystal structure of BeRe (PBE, the Alexandria database).

As for the calculated total energy: -31.866 eV for the cell shown. The formation energy comes out at 0.121 eV/atom. The calculation puts the total magnetization at 0.0 μB per formula unit.

The space group is Cmmm (No. 65) and the conventional cell measures 3.081, 4.196 and 3.760 Å, with angles of 90.00, 90.00 and 90.00 degrees. The asymmetric unit holds Be at (0.000, 0.000, 0.000) and Re at (0.000, 0.500, 0.500).

3.
# BeRe

An optimized crystal structure of BeRe (PBE, the Alexandria database).

As for the calculated total energy: -60.326 eV for the cell shown. The formation energy comes out at 0.546 eV/atom. The calculation puts the total magnetization at 0.0 μB per formula unit.

The space group is P6_3/mmc (No. 194) and the conventional cell measures 4.3004, 4.3004 and 6.7100 Å, with angles of 90.00, 90.00 and 120.00 degrees. The asymmetric unit holds Be at (0.3333, 0.6667, 0.0948), Re at (0.0000, 0.0000, 0.2500) and Re at (0.3333, 0.6667, 0.7500).

4.
# BeRe

An optimized crystal structure of BeRe (PBE, the Alexandria database).

As for the calculated total energy: -92.759 eV for the cell shown. The formation energy comes out at 0.357 eV/atom. The calculation puts the total magnetization at 0.0 μB per formula unit.

The space group is P6_3/mmc (No. 194) and the conventional cell measures 7.6186, 7.6186 and 4.1589 Å, with angles of 90.00, 90.00 and 120.00 degrees. The asymmetric unit holds Be at (0.2250, 0.4500, 0.2500) and Re at (0.1091, 0.5545, 0.7500).

5.
# Be2Re

An optimized crystal structure of Be2Re (PBE, the Alexandria database).

As for the calculated total energy: -80.414 eV for the cell shown. The formation energy comes out at -0.068 eV/atom. The calculation puts the total magnetization at 0.0 μB per formula unit.

The space group is I4_1/amd (No. 141, origin choice 2) and the conventional cell measures 3.165, 3.165 and 11.796 Å, with angles of 90.00, 90.00 and 90.00 degrees. The asymmetric unit holds Be at (0.000, 0.250, 0.294) and Re at (0.000, 0.250, 0.875).

6.
# Be5Re

An optimized crystal structure of Be5Re (PBE, the Alexandria database).

As for the calculated total energy: -63.462 eV for the cell shown. The formation energy comes out at -0.109 eV/atom. The calculation puts the total magnetization at 0.0 μB per formula unit.

The space group is Cmmm (No. 65) and the conventional cell measures 3.283, 10.286 and 3.282 Å, with angles of 90.00, 90.00 and 90.00 degrees. The asymmetric unit holds Be at (0.000, 0.000, 0.000), Be at (0.000, 0.177, 0.500), Be at (0.000, 0.327, 0.000) and Re at (0.000, 0.500, 0.500).

7.
# Be3Re5

An optimized crystal structure of Be3Re5 (PBE, the Alexandria database).

As for the calculated total energy: -298.133 eV for the cell shown. The formation energy comes out at -0.139 eV/atom. The calculation puts the total magnetization at 0.0 μB per formula unit.

The space group is I4/mcm (No. 140) and the conventional cell measures 9.097, 9.097 and 4.765 Å, with angles of 90.00, 90.00 and 90.00 degrees. The asymmetric unit holds Be at (0.000, 0.000, 0.250), Be at (0.170, 0.330, 0.000), Re at (0.000, 0.500, 0.250) and Re at (0.073, 0.223, 0.500).

8.
# Be3Re

An optimized crystal structure of Be3Re (PBE, the Alexandria database).

As for the calculated total energy: -92.312 eV for the cell shown. The formation energy comes out at 0.137 eV/atom. The calculation puts the total magnetization at 0.0 μB per formula unit.

The space group is Fm-3m (No. 225) and the conventional cell measures 5.419, 5.419 and 5.419 Å, with angles of 90.00, 90.00 and 90.00 degrees. The asymmetric unit holds Be at (0.000, 0.000, 0.000), Be at (0.250, 0.250, 0.250) and Re at (0.000, 0.000, 0.500).

9.
# Be5Re

An optimized crystal structure of Be5Re (PBE, the Alexandria database).

As for the calculated total energy: -31.793 eV for the cell shown. The formation energy comes out at -0.119 eV/atom. The calculation puts the total magnetization at 0.0 μB per formula unit.

The space group is P6/mmm (No. 191) and the conventional cell measures 4.2506, 4.2506 and 3.3485 Å, with angles of 90.00, 90.00 and 120.00 degrees. The asymmetric unit holds Be at (0.0000, 0.5000, 0.0000), Be at (0.3333, 0.6667, 0.5000) and Re at (0.0000, 0.0000, 0.5000).

10.
# Be2Re

An optimized crystal structure of Be2Re (PBE, the Alexandria database).

As for the calculated total energy: -78.921 eV for the cell shown. The formation energy comes out at 0.057 eV/atom. The calculation puts the total magnetization at 0.0 μB per formula unit.

The space group is Cmcm (No. 63) and the conventional cell measures 2.624, 11.990 and 4.064 Å, with angles of 90.00, 90.00 and 90.00 degrees. The asymmetric unit holds Be at (0.000, 0.100, 0.250), Be at (0.000, 0.251, 0.750) and Re at (0.000, 0.420, 0.250).

11.
# BeRe

An optimized crystal structure of BeRe (PBE, the Alexandria database).

As for the calculated total energy: -61.329 eV for the cell shown. The formation energy comes out at 0.421 eV/atom. The calculation puts the total magnetization at 0.0 μB per formula unit.

The space group is Fm-3m (No. 225) and the conventional cell measures 4.528, 4.528 and 4.528 Å, with angles of 90.00, 90.00 and 90.00 degrees. The asymmetric unit holds Be at (0.000, 0.000, 0.000) and Re at (0.000, 0.000, 0.500).

12.
# Be2Re

An optimized crystal structure of Be2Re (PBE, the Alexandria database).

As for the calculated total energy: -76.596 eV for the cell shown. The formation energy comes out at 0.250 eV/atom. The calculation puts the total magnetization at 0.0 μB per formula unit.

The space group is Cmcm (No. 63) and the conventional cell measures 2.655, 12.906 and 4.105 Å, with angles of 90.00, 90.00 and 90.00 degrees. The asymmetric unit holds Be at (0.000, 0.055, 0.250), Be at (0.000, 0.400, 0.250) and Re at (0.000, 0.286, 0.750).

13.
# Be2Re

An optimized crystal structure of Be2Re (PBE, the Alexandria database).

As for the calculated total energy: -168.174 eV for the cell shown. The formation energy comes out at -0.374 eV/atom. The calculation puts the total magnetization at 0.0 μB per formula unit.

The space group is Fd-3m (No. 227, origin choice 2) and the conventional cell measures 6.193, 6.193 and 6.193 Å, with angles of 90.00, 90.00 and 90.00 degrees. The asymmetric unit holds Be at (0.000, 0.000, 0.000) and Re at (0.125, 0.125, 0.625).

14.
# BeRe

An optimized crystal structure of BeRe (PBE, the Alexandria database).

As for the calculated total energy: -124.787 eV for the cell shown. The formation energy comes out at 0.288 eV/atom. The calculation puts the total magnetization at 0.0 μB per formula unit.

The space group is P4/mcc (No. 124) and the conventional cell measures 6.837, 6.837 and 4.332 Å, with angles of 90.00, 90.00 and 90.00 degrees. The asymmetric unit holds Be at (0.075, 0.231, 0.000) and Re at (0.212, 0.411, 0.500).

15.
# Be3Re

An optimized crystal structure of Be3Re (PBE, the Alexandria database).

As for the calculated total energy: -22.799 eV for the cell shown. The formation energy comes out at 0.207 eV/atom. The calculation puts the total magnetization at 0.0 μB per formula unit.

The space group is P-6m2 (No. 187) and the conventional cell measures 2.6212, 2.6212 and 7.4365 Å, with angles of 90.00, 90.00 and 120.00 degrees. The asymmetric unit holds Be at (0.0000, 0.0000, 0.0000), Be at (0.3333, 0.6667, 0.2315) and Re at (0.0000, 0.0000, 0.5000).

16.
# Be3Re

An optimized crystal structure of Be3Re (PBE, the Alexandria database).

As for the calculated total energy: -96.621 eV for the cell shown. The formation energy comes out at -0.132 eV/atom. The calculation puts the total magnetization at 0.0 μB per formula unit.

The space group is P6_3/mmc (No. 194) and the conventional cell measures 4.7978, 4.7978 and 7.8177 Å, with angles of 90.00, 90.00 and 120.00 degrees. The asymmetric unit holds Be at (0.0000, 0.5000, 0.0000), Be at (0.1734, 0.3468, 0.2500), Re at (0.0000, 0.0000, 0.0000) and Re at (0.3333, 0.6667, 0.7500).

17.
# BeRe

An optimized crystal structure of BeRe (PBE, the Alexandria database).

As for the calculated total energy: -128.702 eV for the cell shown. The formation energy comes out at 0.043 eV/atom. The calculation puts the total magnetization at 0.0 μB per formula unit.

The space group is Pnma (No. 62) and the conventional cell measures 9.154, 4.255 and 5.068 Å, with angles of 90.00, 90.00 and 90.00 degrees. The asymmetric unit holds Be at (0.068, 0.250, 0.013), Be at (0.157, 0.750, 0.239), Re at (0.094, 0.250, 0.514) and Re at (0.173, 0.750, 0.754).

18.
# Be2Re

An optimized crystal structure of Be2Re (PBE, the Alexandria database).

As for the calculated total energy: -79.741 eV for the cell shown. The formation energy comes out at -0.012 eV/atom. The calculation puts the total magnetization at 0.0 μB per formula unit.

The space group is Cmcm (No. 63) and the conventional cell measures 3.239, 11.927 and 3.247 Å, with angles of 90.00, 90.00 and 90.00 degrees. The asymmetric unit holds Be at (0.000, 0.117, 0.250), Be at (0.000, 0.249, 0.750) and Re at (0.000, 0.413, 0.250).

19.
# Be3Re5

An optimized crystal structure of Be3Re5 (PBE, the Alexandria database).

As for the calculated total energy: -144.768 eV for the cell shown. The formation energy comes out at 0.129 eV/atom. The calculation puts the total magnetization at 0.0 μB per formula unit.

The space group is Cmmm (No. 65) and the conventional cell measures 6.090, 8.218 and 4.062 Å, with angles of 90.00, 90.00 and 90.00 degrees. The asymmetric unit holds Be at (0.000, 0.000, 0.000), Be at (0.000, 0.275, 0.500), Re at (0.000, 0.500, 0.000), Re at (0.208, 0.000, 0.500) and Re at (0.250, 0.250, 0.000).

20.
# BeRe

An optimized crystal structure of BeRe (PBE, the Alexandria database).

As for the calculated total energy: -15.945 eV for the cell shown. The formation energy comes out at 0.114 eV/atom. The calculation puts the total magnetization at 0.0 μB per formula unit.

The space group is P4/mmm (No. 123) and the conventional cell measures 2.991, 2.991 and 2.586 Å, with angles of 90.00, 90.00 and 90.00 degrees. The asymmetric unit holds Be at (0.000, 0.000, 0.000) and Re at (0.500, 0.500, 0.500).

21.
# Be3Re

An optimized crystal structure of Be3Re (PBE, the Alexandria database).

As for the calculated total energy: -46.871 eV for the cell shown. The formation energy comes out at 0.048 eV/atom. The calculation puts the total magnetization at 0.0 μB per formula unit.

The space group is Cmmm (No. 65) and the conventional cell measures 4.750, 7.062 and 2.518 Å, with angles of 90.00, 90.00 and 90.00 degrees. The asymmetric unit holds Be at (0.000, 0.000, 0.000), Be at (0.250, 0.250, 0.500) and Re at (0.000, 0.500, 0.000).

22.
# BeRe

An optimized crystal structure of BeRe (PBE, the Alexandria database).

As for the calculated total energy: -31.881 eV for the cell shown. The formation energy comes out at 0.117 eV/atom. The calculation puts the total magnetization at 0.0 μB per formula unit.

The space group is P-3m1 (No. 164) and the conventional cell measures 2.7745, 2.7745 and 7.4337 Å, with angles of 90.00, 90.00 and 120.00 degrees. The asymmetric unit holds Be at (0.3333, 0.6667, 0.1027) and Re at (0.3333, 0.6667, 0.6425).

23.
# Be2Re

An optimized crystal structure of Be2Re (PBE, the Alexandria database).

As for the calculated total energy: -80.777 eV for the cell shown. The formation energy comes out at -0.098 eV/atom. The calculation puts the total magnetization at 0.0 μB per formula unit.

The space group is Pnma (No. 62) and the conventional cell measures 4.630, 3.366 and 7.894 Å, with angles of 90.00, 90.00 and 90.00 degrees. The asymmetric unit holds Be at (0.120, 0.250, 0.037), Be at (0.238, 0.250, 0.677) and Re at (0.117, 0.250, 0.372).

24.
# Be3Re

An optimized crystal structure of Be3Re (PBE, the Alexandria database).

As for the calculated total energy: -23.440 eV for the cell shown. The formation energy comes out at 0.047 eV/atom. The calculation puts the total magnetization at 0.0 μB per formula unit.

The space group is P2/m (No. 10) and the conventional cell measures 2.532, 3.736 and 4.504 Å, with angles of 90.00, 101.89 and 90.00 degrees. The asymmetric unit holds Be at (0.000, 0.000, 0.000), Be at (0.127, 0.500, 0.750) and Re at (0.500, 0.000, 0.500).

25.
# BeRe

An optimized crystal structure of BeRe (PBE, the Alexandria database).

As for the calculated total energy: -125.378 eV for the cell shown. The formation energy comes out at 0.251 eV/atom. The calculation puts the total magnetization at 0.0 μB per formula unit.

The space group is I4/m (No. 87) and the conventional cell measures 8.265, 8.265 and 2.864 Å, with angles of 90.00, 90.00 and 90.00 degrees. The asymmetric unit holds Be at (0.099, 0.152, 0.000) and Re at (0.067, 0.684, 0.500).